An optimized crystal structure of NaSi2BiCl, computed with PBE.

The structure in extended XYZ format:
```
5
Lattice="5.076 0.000 0.000 0.000 5.634 0.000 0.000 0.000 5.076" Properties=species:S:1:pos:R:3 pbc="T T T"
Bi 0.000 2.817 0.000
Si 0.000 0.000 2.538
Si 2.538 0.000 0.000
Na 0.000 0.000 0.000
Cl 2.538 2.817 2.538
```

## Properties
Crystal system = tetragonal
Formation energy (no corrections) = 5.8 eV/f.u.
SG = P4/mmm, No. 123
Total magnetization = 0.00 μB per formula unit
D(E_F) = 9.5 states/eV/cell
Energy = -12.12 eV for the cell shown